Entry 1:
# Tl2GaSnCl5

Tl2GaSnCl5 after structural relaxation (PBE, Alexandria via LeMat-Bulk).

Cell: 4.322 9.291 15.893 Å, 90.00 90.00 103.45°
Positions (direct):
Cl: 0.725 0.450 0.911
Sn: 0.242 0.485 0.027
Tl: 0.855 0.711 0.763
Cl: 0.917 0.834 0.563
Sn: 0.758 0.515 0.527
Cl: 0.397 0.795 0.016
Cl: 0.480 0.959 0.775
Ga: 0.540 0.080 0.950
Cl: 0.520 0.041 0.275
Cl: 0.749 0.497 0.153
Tl: 0.145 0.289 0.263
Cl: 0.603 0.205 0.516
Cl: 0.083 0.166 0.063
Tl: 0.931 0.862 0.166
Tl: 0.069 0.138 0.666
Ga: 0.460 0.920 0.450
Cl: 0.251 0.503 0.653
Cl: 0.275 0.550 0.411

Properties
- Mass density: 4.14 g cm⁻³



Entry 2:
# SnMoSe

SnMoSe after structural relaxation (PBE, Alexandria via LeMat-Bulk).

Cell: 5.106 10.441 8.455 Å, 78.54 72.32 75.86°
Positions (direct):
Sn: 0.073 0.824 0.818
Mo: 0.474 0.846 0.999
Sn: 0.688 0.691 0.716
Mo: 0.894 0.059 0.954
Se: 0.086 0.812 0.447
Mo: 0.093 0.559 0.455
Mo: 0.040 0.316 0.676
Sn: 0.903 0.189 0.218
Se: 0.653 0.310 0.947
Se: 0.312 0.607 0.107
Mo: 0.969 0.814 0.176
Sn: 0.283 0.324 0.318
Se: 0.297 0.484 0.707
Se: 0.978 0.107 0.608
Sn: 0.636 0.615 0.324
Sn: 0.427 0.116 0.822
Mo: 0.679 0.345 0.500
Se: 0.514 0.983 0.207

Properties
- Mass density: 7.09 g cm⁻³



Entry 3:
# Rb2NaYF6

Rb2NaYF6 after structural relaxation (PBE, Alexandria via LeMat-Bulk).

Cell: 6.368 6.368 6.368 Å, 60.00 60.00 60.00°
Positions (direct):
F: 0.757 0.757 0.243
Y: 0.000 0.000 0.000
F: 0.243 0.243 0.757
F: 0.243 0.757 0.757
F: 0.757 0.243 0.757
Na: 0.500 0.500 0.500
F: 0.757 0.243 0.243
Rb: 0.750 0.750 0.750
F: 0.243 0.757 0.243
Rb: 0.250 0.250 0.250

Properties
- Mass density: 3.61 g cm⁻³



Entry 4:
# Sc6C2N

Sc6C2N after structural relaxation (PBE, Alexandria via LeMat-Bulk).

Cell: 5.712 5.712 6.433 Å, 63.64 63.64 60.00°
Last column: magnetic moment on the atom in μB.
Positions (direct):
N: 0.000 0.000 0.000  -0.04
C: 0.824 0.824 0.528  -0.03
Sc: 0.930 0.599 0.258  0.24
C: 0.176 0.176 0.472  -0.03
Sc: 0.070 0.401 0.742  0.24
Sc: 0.214 0.930 0.258  0.24
Sc: 0.401 0.786 0.742  0.24
Sc: 0.599 0.214 0.258  0.24
Sc: 0.786 0.070 0.742  0.24

Properties
- Mass density: 3.27 g cm⁻³



Number 1: total energy -29.31 eV per formula unit. Number 2: total energy -18.25 eV per formula unit. Number 3: total energy -54.20 eV per formula unit. Number 4: total energy -70.40 eV per formula unit.